DFT (GGA-PBE) results for an optimized crystal structure of MgSn2HgRu.

CIF file:
```
data_MgSn2HgRu
_cell_length_a 5.086
_cell_length_b 5.086
_cell_length_c 5.163
_cell_angle_alpha 90.00
_cell_angle_beta 90.00
_cell_angle_gamma 90.00
_space_group_name_H-M_alt 'P 4/m m m'
_space_group_IT_number 123
_space_group_name_Hall '-P 4 2'
loop_
_atom_site_label
_atom_site_fract_x
_atom_site_fract_y
_atom_site_fract_z
Mg1 0.000 0.000 0.000
Sn1 0.000 0.500 0.500
Hg1 0.500 0.500 0.000
Ru1 0.000 0.000 0.500
```

Total magnetic moment   0.0 μB per cell
ΔH_f (0 K)   -0.034 eV per atom
Calculated volume   134 Å³ per cell

---

DFT (GGA-PBE) results for an optimized crystal structure of Ce2Si4Ni3Pt.

CIF file:
```
data_Ce2Si4Ni3Pt
_cell_length_a 4.054
_cell_length_b 4.054
_cell_length_c 9.667
_cell_angle_alpha 90.00
_cell_angle_beta 90.00
_cell_angle_gamma 90.00
_space_group_name_H-M_alt 'P -4 m 2'
_space_group_IT_number 115
loop_
_space_group_symop_operation_xyz
'x,y,z'
'y,-x,-z'
'-x,-y,z'
'-y,x,-z'
'-x,y,z'
'-y,-x,-z'
'x,-y,z'
'y,x,-z'
loop_
_atom_site_label
_atom_site_fract_x
_atom_site_fract_y
_atom_site_fract_z
Ce1 0.000 0.500 0.242
Si1 0.000 0.000 0.000
Si2 0.000 0.500 0.639
Si3 0.500 0.500 0.000
Ni1 0.000 0.500 0.880
Ni2 0.500 0.500 0.500
Pt1 0.000 0.000 0.500
```

Total magnetic moment   0.0 μB per cell
Calculated volume   159 Å³ per cell
Raw formation energy   -8.96 eV per formula unit

---

DFT (GGA-PBE) results for an optimized crystal structure of PSe2Cl2.

CIF file:
```
data_PSe2Cl2
_cell_length_a 7.055
_cell_length_b 7.879
_cell_length_c 7.882
_cell_angle_alpha 73.32
_cell_angle_beta 63.79
_cell_angle_gamma 86.42
_space_group_name_H-M_alt 'P -1'
_space_group_IT_number 2
loop_
_space_group_symop_operation_xyz
'x,y,z'
'-x,-y,-z'
loop_
_atom_site_label
_atom_site_fract_x
_atom_site_fract_y
_atom_site_fract_z
P1 0.132 0.198 0.349
Se1 0.226 0.504 0.264
Se2 0.248 0.485 0.547
Cl1 0.070 0.203 0.113
Cl2 0.425 0.094 0.265
```

Total magnetic moment   0.0 μB per cell
Calculated volume   375 Å³ per cell
Raw formation energy   -1.56 eV per formula unit

---

DFT (GGA-PBE) results for an optimized crystal structure of K3PbW.

CIF file:
```
data_K3PbW
_cell_length_a 6.729
_cell_length_b 6.729
_cell_length_c 6.729
_cell_angle_alpha 90.00
_cell_angle_beta 90.00
_cell_angle_gamma 90.00
_space_group_name_H-M_alt 'P m -3 m'
_space_group_IT_number 221
_space_group_name_Hall '-P 4 2 3'
loop_
_atom_site_label
_atom_site_fract_x
_atom_site_fract_y
_atom_site_fract_z
K1 0.000 0.000 0.500
Pb1 0.000 0.000 0.000
W1 0.500 0.500 0.500
```

Total magnetic moment   7.0 μB per cell
ΔH_f (0 K)   1.499 eV per atom
Calculated volume   305 Å³ per cell

---

DFT (GGA-PBE) results for an optimized crystal structure of AsPb2Au.

CIF file:
```
data_AsPb2Au
_cell_length_a 9.968
_cell_length_b 3.893
_cell_length_c 5.713
_cell_angle_alpha 90.00
_cell_angle_beta 109.67
_cell_angle_gamma 90.00
_space_group_name_H-M_alt 'C 1 m 1'
_space_group_IT_number 8
loop_
_space_group_symop_operation_xyz
'x,y,z'
'x,-y,z'
'x+1/2,y+1/2,z'
'x+1/2,-y+1/2,z'
loop_
_atom_site_label
_atom_site_fract_x
_atom_site_fract_y
_atom_site_fract_z
As1 0.000 0.000 0.000
Pb1 0.236 0.000 0.742
Pb2 0.449 0.000 0.382
Au1 0.202 0.500 0.149
```

Total magnetic moment   0.0 μB per cell
ΔH_f (0 K)   0.062 eV per atom
Calculated volume   209 Å³ per cell

---

Calculated density, respectively: 7.01; 7.98; 2.30; 2.77; 10.92 g/cm3.